[1]
## SiHg2Pt (GGA-PBEsol)

Data for a relaxed structure of SiHg2Pt.

abc: 5.9340 3.4530 8.0113
angles: 90.00 90.26 90.00
Space group Cm (No. 8)
Asymmetric unit:
Si 0.0000 0.0000 0.0000
Hg 0.0034 0.0000 0.6841
Hg 0.3336 0.0000 0.4078
Pt 0.1663 0.5000 0.1477

Results
Uncorrected formation energy in eV/atom: -0.17
V in Å³ per atom: 20.519

---

[2]
## Si2HgPt (GGA-PBEsol)

Data for a relaxed structure of Si2HgPt.

abc: 5.4411 6.0901 8.3262
angles: 90.00 90.00 90.00
Space group Fmmm (No. 69)
Asymmetric unit:
Si 0.0000 0.2500 0.2500
Hg 0.0000 0.0000 0.0000
Pt 0.0000 0.0000 0.5000

Results
Uncorrected formation energy in eV/atom: 0.18
V in Å³ per atom: 17.244

---

[3]
## Si2HgPt (GGA-PBEsol)

Data for a relaxed structure of Si2HgPt.

abc: 3.7038 4.2041 4.2303
angles: 90.00 90.00 90.00
Space group Pmmm (No. 47)
Asymmetric unit:
Si 0.0000 0.0000 0.0000
Si 0.0000 0.5000 0.5000
Hg 0.5000 0.0000 0.5000
Pt 0.5000 0.5000 0.0000

Results
Uncorrected formation energy in eV/atom: 0.28
V in Å³ per atom: 16.468